*i*
Compound: BAsAu2
Source: the Alexandria database
Functional: PBE-GGA
Structure: optimized geometry

a = 4.879 Å, b = 4.879 Å, c = 12.825 Å
α = 90.00°, β = 90.00°, γ = 90.00°
Fractional coordinates of all 16 atoms:
B (0.000, 0.000, 0.000)
B (0.000, 0.500, 0.250)
B (0.500, 0.000, 0.750)
B (0.500, 0.500, 0.500)
As (0.000, 0.000, 0.500)
As (0.000, 0.500, 0.750)
As (0.500, 0.000, 0.250)
As (0.500, 0.500, 0.000)
Au (0.168, 0.250, 0.125)
Au (0.250, 0.668, 0.375)
Au (0.250, 0.832, 0.875)
Au (0.332, 0.250, 0.625)
Au (0.668, 0.750, 0.625)
Au (0.750, 0.168, 0.875)
Au (0.750, 0.332, 0.375)
Au (0.832, 0.750, 0.125)

## Properties
The crystal system is tetragonal.



*ii*
Compound: BAsAu2
Source: the Alexandria database
Functional: PBE-GGA
Structure: optimized geometry

a = 6.393 Å, b = 6.393 Å, c = 6.393 Å
α = 90.00°, β = 90.00°, γ = 90.00°
Fractional coordinates of all 16 atoms:
B (0.000, 0.000, 0.000)
B (0.000, 0.500, 0.500)
B (0.500, 0.000, 0.500)
B (0.500, 0.500, 0.000)
As (0.000, 0.000, 0.500)
As (0.000, 0.500, 0.000)
As (0.500, 0.000, 0.000)
As (0.500, 0.500, 0.500)
Au (0.250, 0.250, 0.250)
Au (0.250, 0.250, 0.750)
Au (0.250, 0.750, 0.250)
Au (0.250, 0.750, 0.750)
Au (0.750, 0.250, 0.250)
Au (0.750, 0.250, 0.750)
Au (0.750, 0.750, 0.250)
Au (0.750, 0.750, 0.750)

## Properties
The crystal system is cubic.



Which structure loses on stability? *ii* does.



*i*
Compound: B3AsAu
Source: the Alexandria database
Functional: PBE-GGA
Structure: optimized geometry

a = 4.235 Å, b = 4.235 Å, c = 4.235 Å
α = 90.00°, β = 90.00°, γ = 90.00°
Fractional coordinates of all 5 atoms:
B (0.000, 0.000, 0.500)
B (0.000, 0.500, 0.000)
B (0.500, 0.000, 0.000)
As (0.500, 0.500, 0.500)
Au (0.000, 0.000, 0.000)

## Properties
The crystal system is cubic.



*ii*
Compound: B3AsAu
Source: the Alexandria database
Functional: PBE-GGA
Structure: optimized geometry

a = 4.140 Å, b = 4.140 Å, c = 4.140 Å
α = 90.00°, β = 90.00°, γ = 90.00°
Fractional coordinates of all 5 atoms:
B (0.000, 0.000, 0.500)
B (0.000, 0.500, 0.000)
B (0.500, 0.000, 0.000)
As (0.000, 0.000, 0.000)
Au (0.500, 0.500, 0.500)

## Properties
The crystal system is cubic.



Which structure loses on stability? *ii* does.